First-principles (PBE+U) data for crystalline Tl2V2CdO6 at its relaxed geometry, as listed in Alexandria via LeMat-Bulk.

Unit cell a=6.1513 b=6.1615 c=7.0116 alpha=117.67 beta=90.00 gamma=119.95
Closest atoms and distances in Å follow each position.
Positions (direct):
Tl  0.7124  0.4249  0.1634  8 O 2.97-3.24
Tl  0.2876  0.5751  0.8366  8 O 2.97-3.24
V  0.9413  0.8826  0.7777  3 O 1.71-1.73
V  0.0587  0.1174  0.2223  3 O 1.71-1.73
Cd  0.5000  0.0000  0.5000  6 O 2.32-2.33
O  0.7571  0.5142  0.6873  1 V 1.71
O  0.2209  0.9658  0.2478  1 V 1.73
O  0.2552  0.0342  0.7522  1 V 1.73
O  0.7791  0.0342  0.7522  1 V 1.73
O  0.7448  0.9658  0.2478  1 V 1.73
O  0.2429  0.4858  0.3127  1 V 1.71

space-group type	C2/m, No. 12
E	-5.892	eV/atom
crystal system	monoclinic
size of the total moment	0.05	μB/cell
DOS at the Fermi energy	0.000	states/eV/atom